Entry from Alexandria via LeMat-Bulk: a relaxed structure of CoRh (PBEsol).

## Properties
Raw total energy = -7.85 eV per atom
DFT formation energy = 0.08 eV per atom
Space-group type = Pm (6)

Cell lengths 4.474, 2.601, 6.242 Å; angles 90.00, 90.41, 90.00 degrees
Sites, in units of the cell vectors:
Co1 0.000 0.000 0.000
Co2 0.154 0.500 0.311
Co3 0.477 0.500 0.995
Rh1 0.318 0.000 0.660
Rh2 0.655 0.000 0.314
Rh3 0.822 0.500 0.667